# ZnGaNiO4 (PBE+U, optimized geometry)
data_ZnGaNiO4
_space_group_name_H-M_alt 'I m m a'
_space_group_IT_number 74
_space_group_name_Hall '-I 2b 2'
_cell_length_a 5.9885
_cell_length_b 6.0107
_cell_length_c 8.2113
_cell_angle_alpha 90.00
_cell_angle_beta 90.00
_cell_angle_gamma 90.00
loop_
_atom_site_label
_atom_site_type_symbol
_atom_site_fract_x
_atom_site_fract_y
_atom_site_fract_z
Zn1 Zn 0.0000 0.2500 0.1232
Ga1 Ga 0.0000 0.0000 0.5000
Ni1 Ni 0.2500 0.2500 0.7500
O1 O 0.0000 0.0221 0.7399
O2 O 0.2257 0.2500 0.5133
# size of the total moment	0.143	μB per atom
# crystal system	orthorhombic
# total DFT energy (no corrections)	-5.183	eV per atom